The following is a DFT calculation (PBE with a Hubbard U) of an optimized crystal structure of AcV2BiO8.

Lattice parameters (Å, degrees): 5.925 5.925 7.100 90.00 90.00 120.00
Element x y z (fractional)
O 0.667 0.333 0.935
O 0.334 0.167 0.243
V 0.333 0.667 0.834
O 0.666 0.833 0.757
O 0.833 0.167 0.243
Bi 0.000 0.000 0.000
O 0.167 0.833 0.757
Ac 0.000 0.000 0.500
O 0.167 0.334 0.757
V 0.667 0.333 0.166
O 0.833 0.666 0.243
O 0.333 0.667 0.065

Properties
Total DFT energy (no corrections) = -87.6 eV/cell
Symmetry = P-3m1
DOS(E_F) = 0.000 states/eV/f.u.